The following is a DFT calculation (GGA+U) of a relaxed MnP5O15 crystal.

Cell lengths 5.077, 13.571, 9.211 Å; angles 90.00, 99.57, 90.00 degrees
Positions (direct):
Mn  0.000  0.000  0.000
Mn  0.000  0.500  0.000
P  0.002  0.250  0.520
P  0.156  0.070  0.688
P  0.156  0.430  0.688
P  0.493  0.139  0.964
P  0.493  0.361  0.964
P  0.507  0.639  0.036
P  0.507  0.861  0.036
P  0.844  0.570  0.312
P  0.844  0.930  0.312
P  0.998  0.750  0.480
O  0.009  0.013  0.793
O  0.009  0.487  0.793
O  0.041  0.661  0.372
O  0.041  0.839  0.372
O  0.200  0.750  0.620
O  0.207  0.622  0.001
O  0.207  0.878  0.001
O  0.272  0.016  0.577
O  0.272  0.484  0.577
O  0.273  0.250  0.473
O  0.327  0.075  0.050
O  0.327  0.425  0.050
O  0.393  0.135  0.794
O  0.393  0.365  0.794
O  0.444  0.250  0.011
O  0.556  0.750  0.989
O  0.607  0.635  0.206
O  0.607  0.865  0.206
O  0.673  0.575  0.950
O  0.673  0.925  0.950
O  0.727  0.750  0.527
O  0.728  0.516  0.423
O  0.728  0.984  0.423
O  0.793  0.122  0.999
O  0.793  0.378  0.999
O  0.800  0.250  0.380
O  0.959  0.161  0.628
O  0.959  0.339  0.628
O  0.991  0.513  0.207
O  0.991  0.987  0.207

space group = No. 11
spin magnetization = 4.0 μB per formula unit
VASP energy = -6.988 eV per atom
D(E_F) = 3.14 states/eV per cell